Entry 1:
DFT (SCAN) results for Ba2TaAs at its PBEsol-relaxed geometry.

Output
Fermi-level density of states (states/eV per cell): 7.620
Mass density (Mg/m³): 7.3
SG: Cm (8)

POSCAR file:
```
Ba2TaAs
1.0
12.093 0.000 0.000
0.000 3.738 0.000
-2.221 0.000 5.346
Ba Ta As
4 2 2
Direct
0.000 0.000 0.000 Ba
0.185 0.000 0.642 Ba
0.500 0.500 0.000 Ba
0.685 0.500 0.642 Ba
0.395 0.000 0.404 Ta
0.895 0.500 0.404 Ta
0.255 0.500 0.178 As
0.755 0.000 0.178 As
```

Entry 2:
DFT (SCAN) results for Ba2TaAs at its PBEsol-relaxed geometry.

Output
Fermi-level density of states (states/eV per cell): 3.173
Mass density (Mg/m³): 7.3
SG: I4/mmm (139)

POSCAR file:
```
Ba2TaAs
1.0
5.111 0.000 0.000
0.000 5.111 0.000
0.000 0.000 9.234
Ba Ta As
4 2 2
Direct
0.000 0.500 0.250 Ba
0.000 0.500 0.750 Ba
0.500 0.000 0.250 Ba
0.500 0.000 0.750 Ba
0.000 0.000 0.000 Ta
0.500 0.500 0.500 Ta
0.000 0.000 0.500 As
0.500 0.500 0.000 As
```

Entry 3:
DFT (SCAN) results for BaTa2As2 at its PBEsol-relaxed geometry.

Output
Fermi-level density of states (states/eV per cell): 4.545
Mass density (Mg/m³): 9.5
SG: I4/mmm (139)

POSCAR file:
```
BaTa2As2
1.0
4.005 0.000 0.000
0.000 4.005 0.000
0.000 0.000 14.139
Ba Ta As
2 4 4
Direct
0.000 0.000 0.000 Ba
0.500 0.500 0.500 Ba
0.000 0.500 0.250 Ta
0.000 0.500 0.750 Ta
0.500 0.000 0.250 Ta
0.500 0.000 0.750 Ta
0.000 0.000 0.373 As
0.000 0.000 0.627 As
0.500 0.500 0.127 As
0.500 0.500 0.873 As
```

Entry 4:
DFT (SCAN) results for BaTc2As at its PBEsol-relaxed geometry.

Output
Fermi-level density of states (states/eV per cell): 8.514
Mass density (Mg/m³): 9.1
SG: C2/m (12)

POSCAR file:
```
BaTc2As
1.0
6.167 0.000 0.000
0.000 9.023 0.000
-1.467 0.000 2.672
Ba Tc As
2 4 2
Direct
0.000 0.000 0.000 Ba
0.500 0.500 0.000 Ba
0.250 0.250 0.000 Tc
0.250 0.750 0.000 Tc
0.750 0.250 0.000 Tc
0.750 0.750 0.000 Tc
0.000 0.500 0.000 As
0.500 0.000 0.000 As
```

Entry 5:
DFT (SCAN) results for BaTc2As at its PBEsol-relaxed geometry.

Output
Fermi-level density of states (states/eV per cell): 5.194
Mass density (Mg/m³): 7.0
SG: R-3m (166)

POSCAR file:
```
BaTc2As
1.0
4.359 0.000 0.000
-2.180 3.775 0.000
0.000 0.000 17.744
Ba Tc As
3 6 3
Direct
0.000 0.000 0.000 Ba
0.333 0.667 0.667 Ba
0.667 0.333 0.333 Ba
0.000 0.000 0.178 Tc
0.000 0.000 0.822 Tc
0.333 0.667 0.488 Tc
0.333 0.667 0.845 Tc
0.667 0.333 0.155 Tc
0.667 0.333 0.512 Tc
0.000 0.000 0.500 As
0.333 0.667 0.167 As
0.667 0.333 0.833 As
```

Entry 6:
DFT (SCAN) results for BaTc2As at its PBEsol-relaxed geometry.

Output
Fermi-level density of states (states/eV per cell): 8.820
Mass density (Mg/m³): 8.8
SG: I-4m2 (119)

POSCAR file:
```
BaTc2As
1.0
4.632 0.000 0.000
0.000 4.632 0.000
0.000 0.000 7.152
Ba Tc As
2 4 2
Direct
0.000 0.000 0.000 Ba
0.500 0.500 0.500 Ba
0.000 0.000 0.500 Tc
0.000 0.500 0.250 Tc
0.500 0.000 0.750 Tc
0.500 0.500 0.000 Tc
0.000 0.500 0.750 As
0.500 0.000 0.250 As
```

Entry 7:
DFT (SCAN) results for BaTc2As at its PBEsol-relaxed geometry.

Output
Fermi-level density of states (states/eV per cell): 3.990
Mass density (Mg/m³): 7.6
SG: Pm (6)

POSCAR file:
```
BaTc2As
1.0
3.513 0.000 0.000
0.000 3.926 0.000
-0.166 0.000 6.483
Ba Tc As
1 2 1
Direct
0.000 0.000 0.000 Ba
0.556 0.000 0.461 Tc
0.967 0.500 0.445 Tc
0.476 0.500 0.713 As
```

Entry 8:
DFT (SCAN) results for BaTc2As at its PBEsol-relaxed geometry.

Output
Fermi-level density of states (states/eV per cell): 3.631
Mass density (Mg/m³): 6.7
SG: P2/m (10)

POSCAR file:
```
BaTc2As
1.0
4.565 0.000 0.000
0.000 4.053 0.000
-1.090 0.000 5.435
Ba Tc As
1 2 1
Direct
0.000 0.000 0.000 Ba
0.239 0.500 0.584 Tc
0.761 0.500 0.416 Tc
0.500 0.000 0.500 As
```

Entry 9:
DFT (SCAN) results for BaTcAs2 at its PBEsol-relaxed geometry.

Output
Fermi-level density of states (states/eV per cell): 3.351
Polymorph energy (0 for the lowest one) (meV/atom): 184
Mass density (Mg/m³): 8.0
SG: P4/mmm (123)

POSCAR file:
```
BaTcAs2
1.0
3.213 0.000 0.000
0.000 3.213 0.000
0.000 0.000 7.706
Ba Tc As
1 1 2
Direct
0.000 0.000 0.000 Ba
0.000 0.000 0.500 Tc
0.500 0.500 0.315 As
0.500 0.500 0.685 As
```

Entry 10:
DFT (SCAN) results for BaTcAs2 at its PBEsol-relaxed geometry.

Output
Fermi-level density of states (states/eV per cell): 3.135
Polymorph energy (0 for the lowest one) (meV/atom): 0
Mass density (Mg/m³): 7.2
SG: Cm (8)

POSCAR file:
```
BaTcAs2
1.0
7.662 0.000 0.000
0.000 3.470 0.000
-2.852 0.000 6.729
Ba Tc As
2 2 4
Direct
0.000 0.000 0.000 Ba
0.500 0.500 0.000 Ba
0.213 0.000 0.531 Tc
0.713 0.500 0.531 Tc
0.064 0.500 0.664 As
0.337 0.500 0.343 As
0.564 0.000 0.664 As
0.837 0.000 0.343 As
```

Entry 11:
DFT (SCAN) results for BaTcAs2 at its PBEsol-relaxed geometry.

Output
Fermi-level density of states (states/eV per cell): 3.194
Polymorph energy (0 for the lowest one) (meV/atom): 898
Mass density (Mg/m³): 7.2
SG: P4/mmm (123)

POSCAR file:
```
BaTcAs2
1.0
4.782 0.000 0.000
0.000 4.782 0.000
0.000 0.000 3.911
Ba Tc As
1 1 2
Direct
0.000 0.000 0.000 Ba
0.500 0.500 0.000 Tc
0.000 0.500 0.500 As
0.500 0.000 0.500 As
```

Entry 12:
DFT (SCAN) results for BaTc2As2 at its PBEsol-relaxed geometry.

Output
Fermi-level density of states (states/eV per cell): 7.861
Polymorph energy (0 for the lowest one) (meV/atom): 0
Mass density (Mg/m³): 7.6
SG: I4/mmm (139)

POSCAR file:
```
BaTc2As2
1.0
4.036 0.000 0.000
0.000 4.036 0.000
0.000 0.000 12.998
Ba Tc As
2 4 4
Direct
0.000 0.000 0.000 Ba
0.500 0.500 0.500 Ba
0.000 0.500 0.250 Tc
0.000 0.500 0.750 Tc
0.500 0.000 0.250 Tc
0.500 0.000 0.750 Tc
0.000 0.000 0.359 As
0.000 0.000 0.641 As
0.500 0.500 0.141 As
0.500 0.500 0.859 As
```

Number 1: E_form 0.07 eV/atom. Number 2: E_form 0.50 eV/atom. Number 3: E_form -0.71 eV/atom. Number 4: E_form 1.04 eV/atom. Number 5: E_form -0.12 eV/atom. Number 6: E_form 1.01 eV/atom. Number 7: E_form 0.07 eV/atom. Number 8: E_form 0.24 eV/atom. Number 9: E_form -0.26 eV/atom. Number 10: E_form -0.44 eV/atom. Number 11: E_form 0.45 eV/atom. Number 12: E_form -0.59 eV/atom.